[1]
VASP calculation (GGA-PBE) on an optimized crystal structure of K2LiIr. Values from VASP.

For the excess energy over the best structure of this formula in the dataset, the calculation gives 125 kJ/mol of formula units. As for the space group: I4/mmm, No. 139. The value obtained for the spin magnetization is 0.2 μB per formula unit.

Geometry as Quantum ESPRESSO input:
```
&SYSTEM
  ibrav = 0, nat = 4, ntyp = 3
/
ATOMIC_SPECIES
K 39.10 K.upf
Li 6.94 Li.upf
Ir 192.22 Ir.upf
CELL_PARAMETERS angstrom
-2.2788 2.2788 4.9659
2.2788 -2.2788 4.9659
2.2788 2.2788 -4.9659
ATOMIC_POSITIONS angstrom
K 2.2788 0.0000 2.4829
K 0.0000 2.2788 2.4829
Li 0.0000 0.0000 0.0000
Ir 0.0000 0.0000 4.9659
```


[2]
VASP calculation (GGA-PBE) on an optimized crystal structure of InCuP2. Values from VASP.

As for the space group: P2/m, No. 10. Its calculated total energy is -17.46 eV per cell. The value obtained for the spin magnetization is 0.0 μB per formula unit.

Geometry as Quantum ESPRESSO input:
```
&SYSTEM
  ibrav = 0, nat = 4, ntyp = 3
/
ATOMIC_SPECIES
In 114.82 In.upf
Cu 63.55 Cu.upf
P 30.97 P.upf
CELL_PARAMETERS angstrom
4.1907 0.0000 0.0000
0.0000 3.7473 0.0000
-1.0900 0.0000 4.8912
ATOMIC_POSITIONS angstrom
In 0.0000 0.0000 0.0000
Cu 1.5503 0.0000 2.4456
P 0.3156 1.8737 3.1262
P 2.7851 1.8737 1.7650
```


[3]
VASP calculation (GGA-PBE) on an optimized crystal structure of CaTmZnNi. Values from VASP.

As for the space group: F-43m, No. 216. Its calculated total energy is -14.35 eV per cell. The value obtained for the spin magnetization is 0.0 μB per formula unit.

Geometry as Quantum ESPRESSO input:
```
&SYSTEM
  ibrav = 0, nat = 4, ntyp = 4
/
ATOMIC_SPECIES
Ca 40.08 Ca.upf
Tm 168.93 Tm.upf
Zn 65.41 Zn.upf
Ni 58.69 Ni.upf
CELL_PARAMETERS angstrom
0.0000 3.4648 3.4648
3.4648 0.0000 3.4648
3.4648 3.4648 0.0000
ATOMIC_POSITIONS angstrom
Ca 0.0000 0.0000 0.0000
Tm 3.4648 3.4648 3.4648
Zn 5.1972 5.1972 5.1972
Ni 1.7324 1.7324 1.7324
```


[4]
VASP calculation (GGA-PBE) on an optimized crystal structure of Cu2H4Pd5. Values from VASP.

For the excess energy over the best structure of this formula in the dataset, the calculation gives 27 kJ/mol of formula units. As for the space group: C2/m, No. 12. The value obtained for the spin magnetization is 0.0 μB per formula unit.

Geometry as Quantum ESPRESSO input:
```
&SYSTEM
  ibrav = 0, nat = 11, ntyp = 3
/
ATOMIC_SPECIES
Cu 63.55 Cu.upf
H 1.01 H.upf
Pd 106.42 Pd.upf
CELL_PARAMETERS angstrom
7.2449 -1.3989 0.0000
7.2449 1.3989 0.0000
-2.8443 0.0000 5.8085
ATOMIC_POSITIONS angstrom
Cu 2.1857 0.0000 1.7510
Cu 9.4599 0.0000 4.0574
H -0.0689 0.0000 3.8648
H 6.4566 0.0000 0.9500
H 5.1890 0.0000 4.8585
H 11.7145 0.0000 1.9437
Pd 0.0000 0.0000 0.0000
Pd 4.7062 0.0000 0.5448
Pd 4.3568 0.0000 3.2382
Pd 7.2888 0.0000 2.5703
Pd 6.9393 0.0000 5.2637
```


[5]
VASP calculation (GGA-PBE) on an optimized crystal structure of K2RbTlPb. Values from VASP.

For the excess energy over the best structure of this formula in the dataset, the calculation gives 5 kJ/mol of formula units. As for the space group: P4/mmm, No. 123. The value obtained for the spin magnetization is 0.2 μB per formula unit.

Geometry as Quantum ESPRESSO input:
```
&SYSTEM
  ibrav = 0, nat = 5, ntyp = 4
/
ATOMIC_SPECIES
K 39.10 K.upf
Rb 85.47 Rb.upf
Tl 204.38 Tl.upf
Pb 207.20 Pb.upf
CELL_PARAMETERS angstrom
6.8175 0.0000 0.0000
0.0000 6.8175 0.0000
0.0000 0.0000 5.9699
ATOMIC_POSITIONS angstrom
K 0.0000 3.4087 0.0000
K 3.4087 0.0000 0.0000
Rb 0.0000 0.0000 2.9850
Tl 3.4087 3.4087 0.0000
Pb 3.4087 3.4087 2.9850
```


[6]
VASP calculation (GGA-PBE) on an optimized crystal structure of ThHgOs. Values from VASP.

For the excess energy over the best structure of this formula in the dataset, the calculation gives 100 kJ/mol of formula units. As for the space group: R-3m, No. 166. The value obtained for the spin magnetization is 0.0 μB per formula unit.

Geometry as Quantum ESPRESSO input:
```
&SYSTEM
  ibrav = 0, nat = 6, ntyp = 3
/
ATOMIC_SPECIES
Th 232.04 Th.upf
Hg 200.59 Hg.upf
Os 190.23 Os.upf
CELL_PARAMETERS angstrom
2.0145 1.1631 11.6184
-2.0145 1.1631 11.6184
0.0000 -2.3262 11.6184
ATOMIC_POSITIONS angstrom
Th 0.0000 0.0000 3.2983
Th 0.0000 0.0000 31.5568
Hg 0.0000 0.0000 12.5901
Hg 0.0000 0.0000 22.2650
Os 0.0000 0.0000 6.1935
Os 0.0000 0.0000 28.6616
```


[7]
VASP calculation (GGA-PBE) on an optimized crystal structure of SrHfPa4N8. Values from VASP.

Its uncorrected formation energy is -34.55 kcal/mol of atoms. As for the space group: R3m, No. 160. The value obtained for the spin magnetization is 2.1 μB per formula unit.

Geometry as Quantum ESPRESSO input:
```
&SYSTEM
  ibrav = 0, nat = 14, ntyp = 4
/
ATOMIC_SPECIES
Sr 87.62 Sr.upf
Hf 178.49 Hf.upf
Pa 231.04 Pa.upf
N 14.01 N.upf
CELL_PARAMETERS angstrom
3.5332 2.0399 5.4760
-3.5332 2.0399 5.4760
0.0000 -4.0798 5.4760
ATOMIC_POSITIONS angstrom
Sr 0.0000 0.0000 0.0000
Hf 0.0000 0.0000 10.2581
Pa -1.7908 -1.0339 7.4592
Pa 0.0000 0.0000 4.0100
Pa 1.7908 -1.0339 7.4592
Pa 0.0000 2.0678 7.4592
N 0.0000 0.0000 6.2584
N 0.0000 -1.8364 8.8018
N -1.5904 0.9182 8.8018
N -1.4296 -0.8254 11.6764
N 1.5904 0.9182 8.8018
N 1.4296 -0.8254 11.6764
N 0.0000 1.6507 11.6764
N 0.0000 0.0000 13.9505
```


[8]
VASP calculation (GGA-PBE) on an optimized crystal structure of PmPa2TcC4. Values from VASP.

As for the space group: Cmcm, No. 63. Its calculated total energy is -144.56 eV per cell. The value obtained for the spin magnetization is 0.0 μB per formula unit.

Geometry as Quantum ESPRESSO input:
```
&SYSTEM
  ibrav = 0, nat = 16, ntyp = 4
/
ATOMIC_SPECIES
Pm 145.00 Pm.upf
Pa 231.04 Pa.upf
Tc 98.00 Tc.upf
C 12.01 C.upf
CELL_PARAMETERS angstrom
1.8146 -5.9686 0.0000
1.8146 5.9686 0.0000
0.0000 0.0000 11.8990
ATOMIC_POSITIONS angstrom
Pm 1.8146 4.5495 8.9243
Pm 1.8146 -4.5495 2.9748
Pa 1.8146 1.5756 6.4672
Pa 1.8146 1.5756 11.3813
Pa 1.8146 -1.5756 0.5177
Pa 1.8146 -1.5756 5.4318
Tc 1.8146 4.2337 2.9748
Tc 1.8146 -4.2337 8.9243
C 0.0000 0.0000 0.0000
C 0.0000 0.0000 5.9495
C 1.8146 2.8551 1.4941
C 1.8146 2.8551 4.4554
C 1.8146 0.8465 8.9243
C 1.8146 -0.8465 2.9748
C 1.8146 -2.8551 7.4436
C 1.8146 -2.8551 10.4049
```


[9]
VASP calculation (GGA-PBE) on an optimized crystal structure of TaCrCl2. Values from VASP.

Its uncorrected formation energy is 4.38 kcal/mol of atoms. For the excess energy over the best structure of this formula in the dataset, the calculation gives 226 kJ/mol of formula units. As for the space group: R-3m, No. 166. The value obtained for the spin magnetization is 0.0 μB per formula unit.

Geometry as Quantum ESPRESSO input:
```
&SYSTEM
  ibrav = 0, nat = 4, ntyp = 3
/
ATOMIC_SPECIES
Ta 180.95 Ta.upf
Cr 52.00 Cr.upf
Cl 35.45 Cl.upf
CELL_PARAMETERS angstrom
1.5075 0.8703 8.2468
-1.5075 0.8703 8.2468
0.0000 -1.7407 8.2468
ATOMIC_POSITIONS angstrom
Ta 0.0000 0.0000 0.0000
Cr 0.0000 0.0000 12.3702
Cl 0.0000 0.0000 2.5127
Cl 0.0000 0.0000 22.2278
```


[10]
VASP calculation (GGA-PBE) on an optimized crystal structure of VGaTc3. Values from VASP.

For the excess energy over the best structure of this formula in the dataset, the calculation gives 0 kJ/mol of formula units. As for the space group: Pm-3m, No. 221. The value obtained for the spin magnetization is 1.9 μB per formula unit.

Geometry as Quantum ESPRESSO input:
```
&SYSTEM
  ibrav = 0, nat = 5, ntyp = 3
/
ATOMIC_SPECIES
V 50.94 V.upf
Ga 69.72 Ga.upf
Tc 98.00 Tc.upf
CELL_PARAMETERS angstrom
4.4696 0.0000 0.0000
0.0000 4.4696 0.0000
0.0000 0.0000 4.4696
ATOMIC_POSITIONS angstrom
V 0.0000 0.0000 0.0000
Ga 2.2348 2.2348 2.2348
Tc 0.0000 0.0000 2.2348
Tc 0.0000 2.2348 0.0000
Tc 2.2348 0.0000 0.0000
```


[11]
VASP calculation (GGA-PBE) on an optimized crystal structure of Zr3TaS6. Values from VASP.

Its uncorrected formation energy is -28.29 kcal/mol of atoms. As for the space group: R-3, No. 148. The value obtained for the spin magnetization is 0.6 μB per formula unit.

Geometry as Quantum ESPRESSO input:
```
&SYSTEM
  ibrav = 0, nat = 20, ntyp = 3
/
ATOMIC_SPECIES
Zr 91.22 Zr.upf
Ta 180.95 Ta.upf
S 32.06 S.upf
CELL_PARAMETERS angstrom
5.1849 2.9935 4.4433
-5.1849 2.9935 4.4433
0.0000 -5.9870 4.4433
ATOMIC_POSITIONS angstrom
Zr -0.6714 -2.7183 3.9457
Zr -2.0185 1.9406 3.9457
Zr -2.6898 -0.7777 9.3842
Zr 2.6898 0.7777 3.9457
Zr 2.0185 -1.9406 9.3842
Zr 0.6714 2.7183 9.3842
Ta 0.0000 0.0000 0.0000
Ta 0.0000 0.0000 6.6650
S -4.1816 -1.3024 7.2979
S -0.9629 -4.2726 6.0321
S -1.8735 -0.3024 5.0598
S -3.2187 2.9702 6.0321
S 1.1986 -1.4713 5.0598
S -0.6749 -1.7737 8.2701
S 0.6749 1.7737 5.0598
S -1.1986 1.4713 8.2701
S 3.2187 -2.9702 7.2979
S 1.8735 0.3024 8.2701
S 0.9629 4.2726 7.2979
S 4.1816 1.3024 6.0321
```


[12]
VASP calculation (GGA-PBE) on an optimized crystal structure of BaZnTe2O7. Values from VASP.

Its uncorrected formation energy is -35.30 kcal/mol of atoms. As for the space group: Ama2, No. 40. The value obtained for the spin magnetization is 0.0 μB per formula unit.

Geometry as Quantum ESPRESSO input:
```
&SYSTEM
  ibrav = 0, nat = 22, ntyp = 4
/
ATOMIC_SPECIES
Ba 137.33 Ba.upf
Zn 65.41 Zn.upf
Te 127.60 Te.upf
O 16.00 O.upf
CELL_PARAMETERS angstrom
5.6283 0.0000 0.0000
0.0000 7.8679 3.7042
0.0000 -7.8679 3.7042
ATOMIC_POSITIONS angstrom
Ba 1.4071 -4.5414 3.7042
Ba 4.2212 4.5414 3.7042
Zn 1.4071 1.7885 3.8246
Zn 4.2212 -1.7885 3.8246
Te 1.4071 -1.1613 1.8202
Te 1.4071 -1.2188 5.6366
Te 4.2212 1.1613 1.8202
Te 4.2212 1.2188 5.6366
O 0.0000 0.0000 6.4615
O 0.0340 -2.4466 5.1170
O 0.0371 2.2742 2.2885
O 1.4071 -0.2603 3.9303
O 1.4071 5.7583 3.7126
O 2.7771 2.2742 2.2885
O 2.7802 -2.4466 5.1170
O 2.8142 0.0000 6.4615
O 2.8481 2.4466 5.1170
O 2.8512 -2.2742 2.2885
O 4.2212 -5.7583 3.7126
O 4.2212 0.2603 3.9303
O 5.5912 -2.2742 2.2885
O 5.5943 2.4466 5.1170
```